BaTa2Tl: single point on PBEsol structure, meta-GGA SCAN.

* relative energy among the computed polymorphs: 0.0000 eV per atom

abc: 3.5055 3.5055 8.2280
angles: 90.00 90.00 90.00
Positions (direct):
Ba 0.0000 0.0000 0.0000
Ta 0.0000 0.0000 0.4565
Ta 0.5000 0.5000 0.3191
Tl 0.5000 0.5000 0.6865

***

BaTaW: single point on PBEsol structure, meta-GGA SCAN.

* relative energy among the computed polymorphs: 0.0000 eV per atom

abc: 4.9753 4.9753 2.9769
angles: 90.00 90.00 120.00
Positions (direct):
Ba 0.0000 0.0000 0.0000
Ta 0.3333 0.6667 0.3715
W 0.6667 0.3333 0.6310

***

BaTaW: single point on PBEsol structure, meta-GGA SCAN.

* relative energy among the computed polymorphs: 0.1355 eV per atom

abc: 4.7111 4.7111 4.7111
angles: 60.00 60.00 60.00
Positions (direct):
Ba 0.0000 0.0000 0.0000
Ta 0.5000 0.5000 0.5000
W 0.7500 0.7500 0.7500

***

Ba2TaW: single point on PBEsol structure, meta-GGA SCAN.

abc: 12.2342 12.2342 12.2342
angles: 14.54 14.54 14.54
Positions (direct):
Ba 0.2472 0.2472 0.2472
Ba 0.7528 0.7528 0.7528
Ta 0.0000 0.0000 0.0000
W 0.5000 0.5000 0.5000

***

Ba2YTa: single point on PBEsol structure, meta-GGA SCAN.

* relative energy among the computed polymorphs: 0.0534 eV per atom

abc: 6.2930 6.2930 6.2930
angles: 134.03 134.03 67.04
Positions (direct):
Ba 0.2500 0.7500 0.5000
Ba 0.7500 0.2500 0.5000
Y 0.0000 0.0000 0.0000
Ta 0.5000 0.5000 0.0000

***

Ba2YTa: single point on PBEsol structure, meta-GGA SCAN.

* relative energy among the computed polymorphs: 0.0000 eV per atom

abc: 12.2844 12.2844 12.2844
angles: 16.19 16.19 16.19
Positions (direct):
Ba 0.2414 0.2414 0.2414
Ba 0.7586 0.7586 0.7586
Y 0.0000 0.0000 0.0000
Ta 0.5000 0.5000 0.5000

***

For each record above, in turn, the calculated DFT formation energy values are 404 1581 1717 1804 1067 1014 meV/atom.
For each record above, in turn, the calculated Fermi-level density of states values are 4.0 3.1 3.2 5.6 5.2 4.8 states/eV/cell.
For each record above, in turn, the calculated final energy values are -60.86 -57.03 -56.89 -52.04 -42.31 -42.37 eV per atom.